(1)
Density functional theory data (GGA-PBE) for crystalline Ta2SbTe at its relaxed geometry.

Crystal system: orthorhombic
Raw formation energy (eV/f.u.): 2.11
Total energy (eV per formula unit): -28.856
Distance to the lowest polymorph of the same formula (eV per atom): 0.587
Space-group type: Immm (71)

Cell lengths 5.5441, 5.5441, 5.5441 Å; angles 143.20, 123.05, 69.76 degrees
Fractional coordinates of all 4 atoms:
Sb  0.2500  0.7500  0.5000
Ta  0.0021  0.0021  0.0000
Ta  0.4979  0.4979  0.0000
Te  0.7500  0.2500  0.5000



(2)
Density functional theory data (GGA-PBE) for crystalline Be2CrRh at its relaxed geometry.

Crystal system: trigonal
Total energy (eV per formula unit): -24.205
Distance to the lowest polymorph of the same formula (eV per atom): 0.323
Space-group type: R-3m (166)
Formation energy from the elements (eV/atom): 0.06

Cell lengths 7.6368, 7.6368, 7.6368 Å; angles 19.77, 19.77, 19.77 degrees
Fractional coordinates of all 4 atoms:
Cr  0.2500  0.2500  0.2500
Rh  0.7500  0.7500  0.7500
Be  0.0019  0.0019  0.0019
Be  0.4981  0.4981  0.4981



(3)
Density functional theory data (GGA-PBE) for crystalline MnGaSbTe2 at its relaxed geometry.

Crystal system: tetragonal
Raw formation energy (eV/f.u.): 3.55
Total energy (eV per formula unit): -19.049
Distance to the lowest polymorph of the same formula (eV per atom): 0.458
Space-group type: P4/mmm (123)

Cell lengths 5.4393, 5.4393, 5.1911 Å; angles 90.00, 90.00, 90.00 degrees
Fractional coordinates of all 5 atoms:
Sb  0.0000  0.0000  0.5000
Te  0.0000  0.5000  0.0000
Te  0.5000  0.0000  0.0000
Ga  0.0000  0.0000  0.0000
Mn  0.5000  0.5000  0.5000



(4)
Density functional theory data (GGA-PBE) for crystalline LaBeAl at its relaxed geometry.

Crystal system: monoclinic
Total energy (eV per formula unit): -12.679
Distance to the lowest polymorph of the same formula (eV per atom): 0.102
Space-group type: Cm (8)
Formation energy from the elements (eV/atom): -0.09

Cell lengths 5.6790, 4.0601, 6.3976 Å; angles 71.47, 72.52, 69.05 degrees
Fractional coordinates of all 6 atoms:
Be  0.8570  0.8872  0.0146
Be  0.8649  0.7096  0.3623
Al  0.7601  0.5526  0.7804
Al  0.6729  0.3614  0.2507
La  0.2923  0.1702  0.0131
La  0.2034  0.9488  0.5454